Entry 1:
VASP calculation (PBE) on crystalline Tm4Ag2Hg at its relaxed geometry.

```
data_Tm4Ag2Hg
_chemical_formula_sum 'Tm4 Ag2 Hg1'
_cell_length_a 4.8467
_cell_length_b 4.8467
_cell_length_c 9.9376
_cell_angle_alpha 75.89
_cell_angle_beta 75.89
_cell_angle_gamma 60.00
_space_group_name_H-M_alt 'P 1'
_space_group_IT_number 1
loop_
_space_group_symop_operation_xyz
'x,y,z'
loop_
_atom_site_label
_atom_site_type_symbol
_atom_site_fract_x
_atom_site_fract_y
_atom_site_fract_z
Tm1 Tm 0.6208 0.6208 0.1376
Tm2 Tm 0.7966 0.7966 0.6103
Tm3 Tm 0.2034 0.2034 0.3897
Tm4 Tm 0.3792 0.3792 0.8624
Hg1 Hg 0.0000 0.0000 0.0000
Ag1 Ag 0.1000 0.1000 0.7001
Ag2 Ag 0.9000 0.9000 0.2999
```

Summary:
Space group: R-3m
Crystal system: trigonal
Distance to the lowest polymorph of the same formula (meV per atom): 159
Formation enthalpy at 0 K (eV/atom): -0.07

Entry 2:
VASP calculation (PBE) on crystalline Tm2AgHg3 at its relaxed geometry.

```
data_Tm2AgHg3
_chemical_formula_sum 'Tm4 Ag2 Hg6'
_cell_length_a 5.9141
_cell_length_b 5.9141
_cell_length_c 9.1161
_cell_angle_alpha 102.19
_cell_angle_beta 102.19
_cell_angle_gamma 110.41
_space_group_name_H-M_alt 'P 1'
_space_group_IT_number 1
loop_
_space_group_symop_operation_xyz
'x,y,z'
loop_
_atom_site_label
_atom_site_type_symbol
_atom_site_fract_x
_atom_site_fract_y
_atom_site_fract_z
Hg1 Hg 0.3383 0.8304 0.1687
Hg2 Hg 0.1696 0.6617 0.8313
Hg3 Hg 0.8311 0.8311 0.6622
Hg4 Hg 0.6617 0.1696 0.8313
Hg5 Hg 0.8304 0.3383 0.1687
Hg6 Hg 0.1689 0.1689 0.3378
Tm1 Tm 0.2500 0.7500 0.5000
Tm2 Tm 0.7489 0.7489 0.0000
Tm3 Tm 0.2511 0.2511 0.0000
Tm4 Tm 0.7500 0.2500 0.5000
Ag1 Ag 0.3327 0.3327 0.6655
Ag2 Ag 0.6673 0.6673 0.3345
```

Summary:
Space group: Fmmm
Crystal system: orthorhombic
Formation enthalpy at 0 K (eV/atom): -0.34

Entry 3:
VASP calculation (PBE) on crystalline Tm3AgHg12 at its relaxed geometry.

```
data_Tm3AgHg12
_chemical_formula_sum 'Tm3 Ag1 Hg12'
_cell_length_a 4.5061
_cell_length_b 4.5061
_cell_length_c 18.5004
_cell_angle_alpha 90.00
_cell_angle_beta 90.00
_cell_angle_gamma 90.00
_space_group_name_H-M_alt 'P 1'
_space_group_IT_number 1
loop_
_space_group_symop_operation_xyz
'x,y,z'
loop_
_atom_site_label
_atom_site_type_symbol
_atom_site_fract_x
_atom_site_fract_y
_atom_site_fract_z
Hg1 Hg 0.5000 0.5000 0.2469
Hg2 Hg 0.5000 0.5000 0.0000
Hg3 Hg 0.5000 0.0000 0.6280
Hg4 Hg 0.0000 0.5000 0.1195
Hg5 Hg 0.5000 0.5000 0.5000
Hg6 Hg 0.0000 0.5000 0.6280
Hg7 Hg 0.5000 0.5000 0.7531
Hg8 Hg 0.5000 0.0000 0.3720
Hg9 Hg 0.5000 0.0000 0.1195
Hg10 Hg 0.0000 0.5000 0.8805
Hg11 Hg 0.5000 0.0000 0.8805
Hg12 Hg 0.0000 0.5000 0.3720
Tm1 Tm 0.0000 0.0000 0.7618
Tm2 Tm 0.0000 0.0000 0.2382
Tm3 Tm 0.0000 0.0000 0.5000
Ag1 Ag 0.0000 0.0000 0.0000
```

Summary:
Space group: P4/mmm
Crystal system: tetragonal
Formation enthalpy at 0 K (eV/atom): -0.20

Entry 4:
VASP calculation (PBE) on crystalline TmAg2Hg4 at its relaxed geometry.

```
data_TmAg2Hg4
_chemical_formula_sum 'Tm1 Ag2 Hg4'
_cell_length_a 4.9106
_cell_length_b 4.9106
_cell_length_c 8.2769
_cell_angle_alpha 72.74
_cell_angle_beta 72.74
_cell_angle_gamma 60.00
_space_group_name_H-M_alt 'P 1'
_space_group_IT_number 1
loop_
_space_group_symop_operation_xyz
'x,y,z'
loop_
_atom_site_label
_atom_site_type_symbol
_atom_site_fract_x
_atom_site_fract_y
_atom_site_fract_z
Hg1 Hg 0.3918 0.3918 0.8247
Hg2 Hg 0.6082 0.6082 0.1753
Hg3 Hg 0.1331 0.1331 0.6008
Hg4 Hg 0.8669 0.8669 0.3992
Ag1 Ag 0.2579 0.2579 0.2264
Ag2 Ag 0.7421 0.7421 0.7736
Tm1 Tm 0.0000 0.0000 0.0000
```

Summary:
Space group: R-3m
Crystal system: trigonal
Formation enthalpy at 0 K (eV/atom): -0.15

> formation enthalpy at 0 K of number 3 (Tm3AgHg12)?

-0.20 eV/atom

What did the second record say?
VASP calculation (PBE) on crystalline Tm2AgHg3 at its relaxed geometry.

```
data_Tm2AgHg3
_chemical_formula_sum 'Tm4 Ag2 Hg6'
_cell_length_a 5.9141
_cell_length_b 5.9141
_cell_length_c 9.1161
_cell_angle_alpha 102.19
_cell_angle_beta 102.19
_cell_angle_gamma 110.41
_space_group_name_H-M_alt 'P 1'
_space_group_IT_number 1
loop_
_space_group_symop_operation_xyz
'x,y,z'
loop_
_atom_site_label
_atom_site_type_symbol
_atom_site_fract_x
_atom_site_fract_y
_atom_site_fract_z
Hg1 Hg 0.3383 0.8304 0.1687
Hg2 Hg 0.1696 0.6617 0.8313
Hg3 Hg 0.8311 0.8311 0.6622
Hg4 Hg 0.6617 0.1696 0.8313
Hg5 Hg 0.8304 0.3383 0.1687
Hg6 Hg 0.1689 0.1689 0.3378
Tm1 Tm 0.2500 0.7500 0.5000
Tm2 Tm 0.7489 0.7489 0.0000
Tm3 Tm 0.2511 0.2511 0.0000
Tm4 Tm 0.7500 0.2500 0.5000
Ag1 Ag 0.3327 0.3327 0.6655
Ag2 Ag 0.6673 0.6673 0.3345
```

Summary:
Space group: Fmmm
Crystal system: orthorhombic
Formation enthalpy at 0 K (eV/atom): -0.34

Repeat the fourth record exactly.
VASP calculation (PBE) on crystalline TmAg2Hg4 at its relaxed geometry.

```
data_TmAg2Hg4
_chemical_formula_sum 'Tm1 Ag2 Hg4'
_cell_length_a 4.9106
_cell_length_b 4.9106
_cell_length_c 8.2769
_cell_angle_alpha 72.74
_cell_angle_beta 72.74
_cell_angle_gamma 60.00
_space_group_name_H-M_alt 'P 1'
_space_group_IT_number 1
loop_
_space_group_symop_operation_xyz
'x,y,z'
loop_
_atom_site_label
_atom_site_type_symbol
_atom_site_fract_x
_atom_site_fract_y
_atom_site_fract_z
Hg1 Hg 0.3918 0.3918 0.8247
Hg2 Hg 0.6082 0.6082 0.1753
Hg3 Hg 0.1331 0.1331 0.6008
Hg4 Hg 0.8669 0.8669 0.3992
Ag1 Ag 0.2579 0.2579 0.2264
Ag2 Ag 0.7421 0.7421 0.7736
Tm1 Tm 0.0000 0.0000 0.0000
```

Summary:
Space group: R-3m
Crystal system: trigonal
Formation enthalpy at 0 K (eV/atom): -0.15

> Among the records above, which one has the highest formation enthalpy at 0 K?

Tm4Ag2Hg